First-principles (PBE) data for a relaxed structure of YTcNi2, as listed in Alexandria via LeMat-Bulk. Values from VASP.

Energy of formation from the pure elements, eV/atom: 0.23
ΔE to the lowest computed polymorph, meV per atom: 352
Space-group type: F-43m, No. 216

Structure (Quantum ESPRESSO input):
```
&SYSTEM
  ibrav = 0, nat = 4, ntyp = 3
/
ATOMIC_SPECIES
Ni 58.69 Ni.upf
Tc 98.00 Tc.upf
Y 88.91 Y.upf
CELL_PARAMETERS angstrom
-1.0457 4.3241 -0.0437
-2.2619 1.7760 3.3945
2.0245 2.8065 2.7961
ATOMIC_POSITIONS angstrom
Ni -0.3208 2.2267 1.5367
Tc -0.6416 4.4533 3.0734
Y -0.9623 6.6800 4.6101
Ni 0.0000 0.0000 0.0000
```